1.
Compound: Co2HRhCl
Source: the Alexandria database
Functional: PBE
Structure: optimized geometry

Cell lengths 4.4920, 2.9119, 4.4920 Å; angles 90.00, 90.00, 90.00 degrees
Closest atoms and distances in Å follow each position.
Positions (direct):
Rh: 0.5000 0.5000 0.5000  8 Co 2.68, 2 Rh 2.91
Co: 0.0000 0.0000 0.5000  2 Cl 2.25
Co: 0.5000 0.0000 0.0000  2 Cl 2.25
Cl: 0.0000 0.0000 0.0000  2 H 1.46
H: 0.0000 0.5000 0.0000  2 Cl 1.46

Space group: P4/mmm (123)
Total energy, eV/atom: -4.517

2.
Compound: CoHRu2Cl
Source: the Alexandria database
Functional: PBE
Structure: optimized geometry

Cell lengths 4.7518, 3.0140, 4.7518 Å; angles 90.00, 90.00, 90.00 degrees
Closest atoms and distances in Å follow each position.
Positions (direct):
Ru: 0.5000 0.0000 0.0000  2 Co 2.38
Co: 0.0000 0.0000 0.0000  2 H 1.51
Cl: 0.5000 0.5000 0.5000  8 Ru 2.81, 2 Cl 3.01
H: 0.0000 0.5000 0.0000  2 Co 1.51
Ru: 0.0000 0.0000 0.5000  2 Co 2.38

Space group: P4/mmm (123)
Total energy, eV/atom: -5.110

3.
Compound: CoHSCl2
Source: the Alexandria database
Functional: PBE
Structure: optimized geometry

Cell lengths 4.8109, 4.8109, 4.1381 Å; angles 90.00, 90.00, 90.00 degrees
Closest atoms and distances in Å follow each position.
Positions (direct):
Cl: 0.0000 0.5000 0.0000  2 Co 2.41
S: 0.0000 0.0000 0.5000  2 Co 2.07
Co: 0.0000 0.0000 0.0000  2 S 2.07
Cl: 0.5000 0.0000 0.0000  2 Co 2.41
H: 0.5000 0.5000 0.5000  8 Cl 3.17, 4 S 3.40

Space group: P4/mmm (123)
ΔE to the lowest computed polymorph, meV/atom: 0
Total energy, eV/atom: -3.191

4.
Compound: CoHSCl2
Source: the Alexandria database
Functional: PBE
Structure: optimized geometry

Cell lengths 4.9750, 4.9750, 3.1972 Å; angles 90.00, 90.00, 90.00 degrees
Closest atoms and distances in Å follow each position.
Positions (direct):
Co: 0.5000 0.5000 0.5000  8 Cl 2.96, 2 Co 3.20
Cl: 0.0000 0.5000 0.0000  2 H 2.49
H: 0.0000 0.0000 0.0000  2 S 1.60
S: 0.0000 0.0000 0.5000  2 H 1.60
Cl: 0.5000 0.0000 0.0000  2 H 2.49

Space group: P4/mmm (123)
ΔE to the lowest computed polymorph, meV/atom: 233
Total energy, eV/atom: -2.958

5.
Compound: CoHS2Cl
Source: the Alexandria database
Functional: PBE
Structure: optimized geometry

Cell lengths 4.3608, 4.3608, 4.9390 Å; angles 90.00, 90.00, 90.00 degrees
Closest atoms and distances in Å follow each position.
Positions (direct):
S: 0.5000 0.0000 0.0000  2 Co 2.18
S: 0.0000 0.5000 0.0000  2 Co 2.18
Co: 0.0000 0.0000 0.0000  4 S 2.18
H: 0.5000 0.5000 0.5000  4 Cl 3.08, 8 S 3.29
Cl: 0.0000 0.0000 0.5000  2 Co 2.47

Space group: P4/mmm (123)
ΔE to the lowest computed polymorph, meV/atom: 60
Total energy, eV/atom: -3.419

6.
Compound: CoHS2Cl
Source: the Alexandria database
Functional: PBE
Structure: optimized geometry

Cell lengths 3.5686, 3.5686, 6.5463 Å; angles 90.00, 90.00, 90.00 degrees
Closest atoms and distances in Å follow each position.
Positions (direct):
S: 0.5000 0.0000 0.0000  2 H 1.78
Cl: 0.0000 0.0000 0.5000  4 Co 2.52
S: 0.0000 0.5000 0.0000  2 H 1.78
H: 0.0000 0.0000 0.0000  4 S 1.78
Co: 0.5000 0.5000 0.5000  4 Cl 2.52

Space group: P4/mmm (123)
ΔE to the lowest computed polymorph, meV/atom: 0
Total energy, eV/atom: -3.479

What did the first record say?
Compound: Co2HRhCl
Source: the Alexandria database
Functional: PBE
Structure: optimized geometry

Cell lengths 4.4920, 2.9119, 4.4920 Å; angles 90.00, 90.00, 90.00 degrees
Closest atoms and distances in Å follow each position.
Positions (direct):
Rh: 0.5000 0.5000 0.5000  8 Co 2.68, 2 Rh 2.91
Co: 0.0000 0.0000 0.5000  2 Cl 2.25
Co: 0.5000 0.0000 0.0000  2 Cl 2.25
Cl: 0.0000 0.0000 0.0000  2 H 1.46
H: 0.0000 0.5000 0.0000  2 Cl 1.46

Space group: P4/mmm (123)
Total energy, eV/atom: -4.517

Question: Look up the total energy of the fourth one.
Answer: -2.958 eV/atom

Question: Which of these has the highest total energy?
Answer: number 4

Question: Look up the total energy of the sixth one.
Answer: -3.479 eV/atom